[1]
Density functional theory data (PBE) for NaSrCeI6 after structural relaxation.

Output
Energy relative to the elements, uncorrected ... -1420 meV/atom
DOS(E_F) ... 16.3 states/eV per cell
Total magnetic moment ... 2.0 μB per cell
Symmetry ... P-31c

Cell and atoms, written as POSCAR:
```
NaSrCeI6
1.0
8.0451 0.0000 0.0000
-4.0226 6.9673 0.0000
0.0000 0.0000 14.6016
Na Sr Ce I
2 2 2 12
direct
0.3333 0.6667 0.2500 Na
0.6667 0.3333 0.7500 Na
0.0000 0.0000 0.0000 Sr
0.0000 0.0000 0.5000 Sr
0.3333 0.6667 0.7500 Ce
0.6667 0.3333 0.2500 Ce
0.0081 0.3481 0.6264 I
0.0081 0.6600 0.8736 I
0.3400 0.3481 0.8736 I
0.3400 0.9919 0.6264 I
0.3481 0.0081 0.1264 I
0.3481 0.3400 0.3736 I
0.6519 0.6600 0.6264 I
0.6519 0.9919 0.8736 I
0.6600 0.0081 0.3736 I
0.6600 0.6519 0.1264 I
0.9919 0.3400 0.1264 I
0.9919 0.6519 0.3736 I
```



[2]
Density functional theory data (PBE) for Cs2LiRhAu after structural relaxation.

Output
DOS(E_F) ... 1.4 states/eV per cell
Total magnetic moment ... 0.0 μB per cell
Formation energy ... 0.3035 eV/atom
Symmetry ... P4/mmm

Cell and atoms, written as POSCAR:
```
Cs2LiRhAu
1.0
6.0605 0.0000 0.0000
0.0000 6.0605 0.0000
0.0000 0.0000 4.8836
Cs Li Rh Au
2 1 1 1
direct
0.0000 0.5000 0.0000 Cs
0.5000 0.0000 0.0000 Cs
0.0000 0.0000 0.5000 Li
0.0000 0.0000 0.0000 Rh
0.5000 0.5000 0.5000 Au
```



[3]
Density functional theory data (PBE) for PaCu2Ag3S6 after structural relaxation.

Output
Energy relative to the elements, uncorrected ... -473 meV/atom
DOS(E_F) ... 7.1 states/eV per cell
Total magnetic moment ... 0.0 μB per cell
Symmetry ... C2/m

Cell and atoms, written as POSCAR:
```
PaCu2Ag3S6
1.0
3.4023 -5.2737 0.0000
3.4023 5.2737 0.0000
-2.2904 0.0000 6.3347
Pa Cu Ag S
1 2 3 6
direct
0.0000 0.0000 0.0000 Pa
0.3260 0.6740 0.0000 Cu
0.6740 0.3260 0.0000 Cu
0.1426 0.8574 0.5000 Ag
0.5000 0.5000 0.5000 Ag
0.8574 0.1426 0.5000 Ag
0.0357 0.3939 0.2484 S
0.3035 0.3035 0.8067 S
0.3939 0.0357 0.2484 S
0.6061 0.9643 0.7516 S
0.6965 0.6965 0.1933 S
0.9643 0.6061 0.7516 S
```



[4]
Density functional theory data (PBE) for La5Sm6Tm2 after structural relaxation.

Output
DOS(E_F) ... 32.4 states/eV per cell
Total magnetic moment ... 0.0 μB per cell
Formation energy ... 0.0881 eV/atom
Symmetry ... Pbam

Cell and atoms, written as POSCAR:
```
La5Sm6Tm2
1.0
11.7955 0.0000 0.0000
0.0000 21.0121 0.0000
0.0000 0.0000 3.6586
La Sm Tm
10 12 4
direct
0.0000 0.0000 0.0000 La
0.0824 0.2715 0.0000 La
0.1978 0.5516 0.0000 La
0.3022 0.0516 0.0000 La
0.4176 0.7715 0.0000 La
0.5000 0.5000 0.0000 La
0.5824 0.2285 0.0000 La
0.6978 0.9484 0.0000 La
0.8022 0.4484 0.0000 La
0.9176 0.7285 0.0000 La
0.0630 0.4180 0.5000 Sm
0.0826 0.1308 0.5000 Sm
0.1743 0.8585 0.0000 Sm
0.3257 0.3585 0.0000 Sm
0.4174 0.6308 0.5000 Sm
0.4370 0.9180 0.5000 Sm
0.5630 0.0820 0.5000 Sm
0.5826 0.3692 0.5000 Sm
0.6743 0.6415 0.0000 Sm
0.8257 0.1415 0.0000 Sm
0.9174 0.8692 0.5000 Sm
0.9370 0.5820 0.5000 Sm
0.1720 0.7096 0.5000 Tm
0.3280 0.2096 0.5000 Tm
0.6720 0.7904 0.5000 Tm
0.8280 0.2904 0.5000 Tm
```



[5]
Density functional theory data (PBE) for La3Pm2ErSb6 after structural relaxation.

Output
Energy relative to the elements, uncorrected ... -1211 meV/atom
DOS(E_F) ... 2.1 states/eV per cell
Total magnetic moment ... 0.0 μB per cell
Symmetry ... C2/m

Cell and atoms, written as POSCAR:
```
La3Pm2ErSb6
1.0
3.9317 -6.8093 0.0000
3.9317 6.8093 0.0000
-2.6212 0.0000 7.4016
La Pm Er Sb
3 2 1 6
direct
0.0000 0.0000 0.0000 La
0.3316 0.6684 0.0000 La
0.6684 0.3316 0.0000 La
0.1660 0.8340 0.5000 Pm
0.8340 0.1660 0.5000 Pm
0.5000 0.5000 0.5000 Er
0.0918 0.4203 0.2602 Sb
0.2525 0.2525 0.7419 Sb
0.4203 0.0918 0.2602 Sb
0.5797 0.9082 0.7398 Sb
0.7475 0.7475 0.2581 Sb
0.9082 0.5797 0.7398 Sb
```



[6]
Density functional theory data (PBE) for NaHfRu2 after structural relaxation.

Output
Distance to the lowest polymorph of the same formula ... 470.4 meV/atom
DOS(E_F) ... 10.6 states/eV per cell
Total magnetic moment ... 0.0 μB per cell
Formation energy ... 0.7185 eV/atom
Symmetry ... I-42d

Cell and atoms, written as POSCAR:
```
NaHfRu2
1.0
-3.5937 3.5937 2.7998
3.5937 -3.5937 2.7998
3.5937 3.5937 -2.7998
Na Hf Ru
2 2 4
direct
0.0000 0.0000 0.0000 Na
0.7500 0.2500 0.5000 Na
0.2500 0.7500 0.5000 Hf
0.5000 0.5000 0.0000 Hf
0.1371 0.6250 0.0121 Ru
0.3750 0.3871 0.5121 Ru
0.6129 0.1250 0.9879 Ru
0.8750 0.8629 0.4879 Ru
```



[7]
Density functional theory data (PBE) for LiY2HfS4 after structural relaxation.

Output
Energy relative to the elements, uncorrected ... -1728 meV/atom
DOS(E_F) ... 3.1 states/eV per cell
Total magnetic moment ... 0.0 μB per cell
Symmetry ... P2/m

Cell and atoms, written as POSCAR:
```
LiY2HfS4
1.0
6.4693 0.0000 0.0000
0.0000 3.7958 0.0000
-2.1798 0.0000 6.2568
Li Y Hf S
1 2 1 4
direct
0.0000 0.0000 0.0000 Li
0.5000 0.0000 0.5000 Y
0.5000 0.5000 0.0000 Y
0.0000 0.5000 0.5000 Hf
0.2279 0.0000 0.7461 S
0.2307 0.5000 0.2451 S
0.7693 0.5000 0.7549 S
0.7721 0.0000 0.2539 S
```



[8]
Density functional theory data (PBE) for LiCaGa6 after structural relaxation.

Output
Distance to the lowest polymorph of the same formula ... 0.0 meV/atom
DOS(E_F) ... 2.7 states/eV per cell
Total magnetic moment ... 0.0 μB per cell
Formation energy ... -0.2342 eV/atom
Symmetry ... Pmm2

Cell and atoms, written as POSCAR:
```
LiCaGa6
1.0
4.4558 0.0000 0.0000
0.0000 6.6623 0.0000
0.0000 0.0000 5.2543
Li Ca Ga
1 1 6
direct
0.0000 0.0000 0.0000 Li
0.5000 0.5000 0.7031 Ca
0.0000 0.2047 0.5151 Ga
0.0000 0.5000 0.1460 Ga
0.0000 0.7953 0.5151 Ga
0.5000 0.0000 0.6986 Ga
0.5000 0.2144 0.1917 Ga
0.5000 0.7856 0.1917 Ga
```



- Which formula does entry 4 have?
  La5Sm6Tm2



Repeat the sixth record exactly.
Density functional theory data (PBE) for NaHfRu2 after structural relaxation.

Output
Distance to the lowest polymorph of the same formula ... 470.4 meV/atom
DOS(E_F) ... 10.6 states/eV per cell
Total magnetic moment ... 0.0 μB per cell
Formation energy ... 0.7185 eV/atom
Symmetry ... I-42d

Cell and atoms, written as POSCAR:
```
NaHfRu2
1.0
-3.5937 3.5937 2.7998
3.5937 -3.5937 2.7998
3.5937 3.5937 -2.7998
Na Hf Ru
2 2 4
direct
0.0000 0.0000 0.0000 Na
0.7500 0.2500 0.5000 Na
0.2500 0.7500 0.5000 Hf
0.5000 0.5000 0.0000 Hf
0.1371 0.6250 0.0121 Ru
0.3750 0.3871 0.5121 Ru
0.6129 0.1250 0.9879 Ru
0.8750 0.8629 0.4879 Ru
```